First-principles (PBE) data for a relaxed structure of Tm3Pb2S, as listed in Alexandria.

Calculated values
D(E_F) = 2.5 states/eV/cell

Unit cell a=3.706 b=6.113 c=7.892 alpha=112.78 beta=103.58 gamma=90.00
Sites, in units of the cell vectors:
Pb1 0.176 0.676 0.352
Tm1 0.139 0.139 0.279
Tm2 0.500 0.500 0.000
Tm3 0.861 0.861 0.721
S1 0.500 0.000 0.000
Pb2 0.824 0.324 0.648

---

First-principles (PBE) data for a relaxed structure of Tm2PbS4, as listed in Alexandria.

Calculated values
Energy above the lowest structure with this stoichiometry = 9 meV per atom

Unit cell a=3.923 b=6.746 c=13.442 alpha=90.00 beta=90.00 gamma=106.90
Sites, in units of the cell vectors:
S1 0.768 0.536 0.388
S2 0.232 0.464 0.612
Pb1 0.604 0.208 0.750
Tm1 0.864 0.728 0.567
S3 0.053 0.107 0.250
S4 0.768 0.536 0.112
Tm2 0.136 0.272 0.067
S5 0.500 0.000 0.500
S6 0.500 0.000 0.000
Tm3 0.136 0.272 0.433
S7 0.947 0.893 0.750
Pb2 0.396 0.792 0.250
S8 0.232 0.464 0.888
Tm4 0.864 0.728 0.933

---

First-principles (PBE) data for a relaxed structure of Tm6PbS4, as listed in Alexandria.

Calculated values
D(E_F) = 11.6 states/eV/cell

Unit cell a=3.891 b=6.721 c=19.807 alpha=90.00 beta=90.00 gamma=106.83
Sites, in units of the cell vectors:
Tm1 0.040 0.079 0.158
S1 0.594 0.188 0.879
Tm2 0.229 0.458 0.916
S2 0.862 0.724 0.539
S3 0.406 0.812 0.379
Tm3 0.960 0.921 0.658
S4 0.862 0.724 0.961
S5 0.138 0.276 0.039
S6 0.594 0.188 0.621
Tm4 0.500 0.000 0.500
Tm5 0.771 0.542 0.084
S7 0.138 0.276 0.461
Tm6 0.354 0.708 0.250
Tm7 0.500 0.000 0.000
Tm8 0.960 0.921 0.842
Tm9 0.229 0.458 0.584
Pb1 0.668 0.336 0.250
S8 0.406 0.812 0.121
Tm10 0.646 0.292 0.750
Tm11 0.040 0.079 0.342
Pb2 0.332 0.664 0.750
Tm12 0.771 0.542 0.416

---

| no. | formation energy without anion corrections (eV/atom) |
| --- | --- |
| 1 | -0.868 |
| 2 | -1.632 |
| 3 | -1.514 |